Compound: Tl2AgRh
Source: Alexandria via LeMat-Bulk
Functional: PBE-GGA
Structure: relaxed

Cell: 6.846 6.846 6.846 Å, 90.00 90.00 90.00°
Space group Fm-3m (No. 225)
Asymmetric unit:
Tl1 0.250 0.250 0.250 (multiplicity 8)
Ag1 0.000 0.000 0.000 (multiplicity 4)
Rh1 0.000 0.000 0.500 (multiplicity 4)

DFT formation energy (eV per formula unit): 0.87